This record from Alexandria via LeMat-Bulk describes a relaxed CaThPt crystal. The functional is PBE.

V: 86.13 Å³ per cell
Energy above the lowest structure with this stoichiometry: 52.6 meV per atom
Formation energy from the elements: -60.06 kJ/mol of atoms
Space-group type: I4mm, No. 107
Density of states at the Fermi level: 1.591 states/eV/atom
Final energy: -17.3 eV/f.u.

Unit cell a=3.602 b=3.602 c=7.110 alpha=104.68 beta=104.68 gamma=90.00
Positions (direct):
Ca  0.029  0.029  0.059
Pt  0.678  0.678  0.356
Th  0.293  0.293  0.585

---

This record from Alexandria via LeMat-Bulk describes a relaxed Ca3ThPt4 crystal. The functional is PBE.

V: 353.68 Å³ per cell
Formation energy from the elements: -96.89 kJ/mol of atoms
Space-group type: P4/mmm, No. 123
Density of states at the Fermi level: 0.276 states/eV/atom
Final energy: -45.6 eV/f.u.

Unit cell a=5.011 b=7.044 c=10.021 alpha=90.00 beta=90.00 gamma=90.00
Positions (direct):
Pt  0.000  0.737  0.750
Pt  0.500  0.263  0.000
Pt  0.500  0.263  0.500
Pt  0.000  0.263  0.250
Pt  0.500  0.737  0.000
Pt  0.000  0.737  0.250
Pt  0.500  0.737  0.500
Pt  0.000  0.263  0.750
Ca  0.500  0.000  0.750
Ca  0.000  0.000  0.000
Ca  0.500  0.000  0.250
Ca  0.000  0.000  0.500
Ca  0.500  0.500  0.750
Ca  0.500  0.500  0.250
Th  0.000  0.500  0.500
Th  0.000  0.500  0.000

---

This record from Alexandria via LeMat-Bulk describes a relaxed CaTh3Pt4 crystal. The functional is PBE.

V: 206.86 Å³ per cell
Formation energy from the elements: -110.94 kJ/mol of atoms
Space-group type: Cmmm, No. 65
Density of states at the Fermi level: 0.480 states/eV/atom
Final energy: -57.6 eV/f.u.

Unit cell a=4.173 b=7.247 c=7.247 alpha=70.70 beta=89.99 gamma=89.99
Positions (direct):
Th  0.500  0.000  0.500
Th  0.000  0.000  0.000
Th  0.000  0.500  0.500
Pt  0.000  0.757  0.744
Pt  0.500  0.248  0.748
Pt  0.500  0.752  0.252
Pt  0.000  0.244  0.256
Ca  0.500  0.500  0.000

---

This record from Alexandria via LeMat-Bulk describes a relaxed CaThPt2 crystal. The functional is PBE.

V: 94.58 Å³ per cell
Energy above the lowest structure with this stoichiometry: 0.0 meV per atom
Formation energy from the elements: -106.74 kJ/mol of atoms
Space-group type: Amm2, No. 38
Density of states at the Fermi level: 0.623 states/eV/atom
Final energy: -25.9 eV/f.u.

Unit cell a=3.883 b=4.513 c=5.737 alpha=90.00 beta=109.81 gamma=90.00
Positions (direct):
Ca  0.721  0.000  0.982
Th  0.448  0.500  0.435
Pt  0.170  0.500  0.878
Pt  0.992  0.000  0.524